# 1
# LiNi2PdN

Crystalline LiNi2PdN at its relaxed geometry (PBE, Alexandria via LeMat-Bulk).

Unit cell a=3.6769 b=3.6769 c=4.0821 alpha=90.00 beta=90.00 gamma=90.00
Fractional coordinates of all 5 atoms:
1 Ni 0.0000 0.5000 0.0000
2 Ni 0.5000 0.0000 0.0000
3 Li 0.0000 0.0000 0.5000
4 Pd 0.5000 0.5000 0.5000
5 N 0.0000 0.0000 0.0000

Formation energy from raw total energies ... -17 kJ per mole of atoms

# 2
# Zr2ZnP

Crystalline Zr2ZnP at its relaxed geometry (PBE, Alexandria via LeMat-Bulk).

Unit cell a=3.6183 b=3.6183 c=7.3996 alpha=75.85 beta=75.85 gamma=60.00
Fractional coordinates of all 4 atoms:
1 Zr 0.0691 0.0691 0.7926
2 Zr 0.2638 0.2638 0.2085
3 Zn 0.4996 0.4996 0.5013
4 P 0.6675 0.6675 0.9976

Electronic total energy ... -6.626 eV/atom

# 3
# AcDyMnSe4

Crystalline AcDyMnSe4 at its relaxed geometry (PBE, Alexandria via LeMat-Bulk).

Unit cell a=6.8501 b=6.9921 c=8.3128 alpha=90.00 beta=107.13 gamma=90.00
Fractional coordinates of all 14 atoms:
1 Ac 0.7688 0.7500 0.9435
2 Ac 0.2312 0.2500 0.0565
3 Dy 0.7764 0.7500 0.4445
4 Dy 0.2236 0.2500 0.5555
5 Mn 0.2410 0.7500 0.3204
6 Mn 0.7590 0.2500 0.6796
7 Se 0.0179 0.5108 0.7340
8 Se 0.9821 0.0108 0.2660
9 Se 0.9821 0.4892 0.2660
10 Se 0.0179 0.9892 0.7340
11 Se 0.4429 0.7500 0.1234
12 Se 0.5571 0.2500 0.8766
13 Se 0.4622 0.7500 0.6062
14 Se 0.5378 0.2500 0.3938

Formation energy from raw total energies ... -139 kJ per mole of atoms

# 4
# ZrTi2BeSb

Crystalline ZrTi2BeSb at its relaxed geometry (PBE, Alexandria via LeMat-Bulk).

Unit cell a=4.8544 b=4.6228 c=4.8544 alpha=90.00 beta=90.00 gamma=90.00
Fractional coordinates of all 5 atoms:
1 Sb 0.5000 0.5000 0.5000
2 Be 0.0000 0.5000 0.0000
3 Zr 0.0000 0.0000 0.0000
4 Ti 0.0000 0.0000 0.5000
5 Ti 0.5000 0.0000 0.0000

Formation energy from raw total energies ... 109 kJ per mole of atoms

# 5
# Na2DyHoTe4

Crystalline Na2DyHoTe4 at its relaxed geometry (PBE, Alexandria via LeMat-Bulk).

Unit cell a=4.4203 b=7.6501 c=7.9919 alpha=108.67 beta=90.00 gamma=90.00
Fractional coordinates of all 8 atoms:
1 Na 0.5000 0.0000 0.5000
2 Na 0.0000 0.5000 0.5000
3 Dy 0.5000 0.5000 0.0000
4 Ho 0.0000 0.0000 0.0000
5 Te 0.5000 0.2431 0.2312
6 Te 0.5000 0.7569 0.7688
7 Te 0.0000 0.2551 0.7684
8 Te 0.0000 0.7449 0.2316

Formation energy from raw total energies ... -127 kJ per mole of atoms

# 6
# TbScPd

Crystalline TbScPd at its relaxed geometry (PBE, Alexandria via LeMat-Bulk).

Unit cell a=4.7541 b=4.7541 c=4.7541 alpha=60.00 beta=60.00 gamma=60.00
Fractional coordinates of all 3 atoms:
1 Sc 0.5000 0.5000 0.5000
2 Tb 0.0000 0.0000 0.0000
3 Pd 0.2500 0.2500 0.2500

Electronic total energy ... -5.825 eV/atom

# 7
# NaZn6

Crystalline NaZn6 at its relaxed geometry (PBE, Alexandria via LeMat-Bulk).

Unit cell a=6.1095 b=6.1095 c=6.1095 alpha=90.00 beta=90.00 gamma=90.00
Fractional coordinates of all 7 atoms:
1 Na 0.0000 0.0000 0.0000
2 Zn 0.1956 0.5000 0.5000
3 Zn 0.5000 0.5000 0.8044
4 Zn 0.5000 0.5000 0.1956
5 Zn 0.5000 0.1956 0.5000
6 Zn 0.5000 0.8044 0.5000
7 Zn 0.8044 0.5000 0.5000

Electronic total energy ... -0.882 eV/atom

# 8
# Ho3SbP2

Crystalline Ho3SbP2 at its relaxed geometry (PBE, Alexandria via LeMat-Bulk).

Unit cell a=4.9151 b=6.5837 c=9.6903 alpha=90.00 beta=90.00 gamma=111.92
Fractional coordinates of all 12 atoms:
1 Ho 0.6258 0.2517 0.0490
2 Ho 0.0961 0.1922 0.7500
3 Ho 0.6258 0.2517 0.4510
4 Ho 0.9039 0.8078 0.2500
5 Ho 0.3742 0.7483 0.9510
6 Ho 0.3742 0.7483 0.5490
7 Sb 0.2236 0.4473 0.2500
8 Sb 0.7764 0.5527 0.7500
9 P 0.0000 0.0000 0.0000
10 P 0.0000 0.0000 0.5000
11 P 0.4698 0.9396 0.2500
12 P 0.5302 0.0604 0.7500

Formation energy from raw total energies ... -96 kJ per mole of atoms

# 9
# TaHS2Cl

Crystalline TaHS2Cl at its relaxed geometry (PBE, Alexandria via LeMat-Bulk).

Unit cell a=3.8678 b=3.8678 c=4.5821 alpha=90.00 beta=90.00 gamma=90.00
Fractional coordinates of all 5 atoms:
1 H 0.0000 0.0000 0.0000
2 S 0.0000 0.5000 0.0000
3 S 0.5000 0.0000 0.0000
4 Cl 0.0000 0.0000 0.5000
5 Ta 0.5000 0.5000 0.5000

Electronic total energy ... -4.365 eV/atom

# 10
# Sr2LaPbO6

Crystalline Sr2LaPbO6 at its relaxed geometry (PBE, Alexandria via LeMat-Bulk).

Unit cell a=6.0859 b=6.2610 c=8.6632 alpha=90.00 beta=90.68 gamma=90.00
Fractional coordinates of all 20 atoms:
1 Sr 0.0184 0.9502 0.2504
2 Sr 0.5184 0.5498 0.7504
3 Sr 0.9816 0.0498 0.7496
4 Sr 0.4816 0.4502 0.2496
5 La 0.5000 0.0000 0.0000
6 La 0.0000 0.5000 0.5000
7 Pb 0.5000 0.0000 0.5000
8 Pb 0.0000 0.5000 0.0000
9 O 0.2869 0.6979 0.0586
10 O 0.7869 0.8021 0.5586
11 O 0.7131 0.3021 0.9414
12 O 0.2131 0.1979 0.4414
13 O 0.3074 0.7157 0.4357
14 O 0.8074 0.7843 0.9357
15 O 0.6926 0.2843 0.5643
16 O 0.1926 0.2157 0.0643
17 O 0.8830 0.5550 0.2397
18 O 0.3830 0.9450 0.7397
19 O 0.1170 0.4450 0.7603
20 O 0.6170 0.0550 0.2603

Formation energy from raw total energies ... -213 kJ per mole of atoms

# 11
# Ho3TmCl

Crystalline Ho3TmCl at its relaxed geometry (PBE, Alexandria via LeMat-Bulk).

Unit cell a=5.2320 b=5.2320 c=5.2320 alpha=90.00 beta=90.00 gamma=90.00
Fractional coordinates of all 5 atoms:
1 Tm 0.5000 0.5000 0.5000
2 Ho 0.0000 0.5000 0.0000
3 Ho 0.0000 0.0000 0.5000
4 Ho 0.5000 0.0000 0.0000
5 Cl 0.0000 0.0000 0.0000

Formation energy from raw total energies ... -40 kJ per mole of atoms

# 12
# LiMgB3

Crystalline LiMgB3 at its relaxed geometry (PBE, Alexandria via LeMat-Bulk).

Unit cell a=3.7614 b=3.7614 c=3.7614 alpha=90.00 beta=90.00 gamma=90.00
Fractional coordinates of all 5 atoms:
1 Mg 0.5000 0.5000 0.5000
2 B 0.0000 0.5000 0.0000
3 B 0.0000 0.0000 0.5000
4 B 0.5000 0.0000 0.0000
5 Li 0.0000 0.0000 0.0000

Electronic total energy ... -3.129 eV/atom

# 13
# ZrTaBr2

Crystalline ZrTaBr2 at its relaxed geometry (PBE, Alexandria via LeMat-Bulk).

Unit cell a=4.9964 b=4.9964 c=4.9964 alpha=60.00 beta=60.00 gamma=60.00
Fractional coordinates of all 4 atoms:
1 Br 0.0000 0.0000 0.0000
2 Br 0.7500 0.7500 0.7500
3 Zr 0.2500 0.2500 0.2500
4 Ta 0.5000 0.5000 0.5000

Formation energy from raw total energies ... 72 kJ per mole of atoms

# 14
# Cs3CuS

Crystalline Cs3CuS at its relaxed geometry (PBE, Alexandria via LeMat-Bulk).

Unit cell a=6.6843 b=6.6843 c=6.6843 alpha=90.00 beta=90.00 gamma=90.00
Fractional coordinates of all 5 atoms:
1 Cs 0.0000 0.5000 0.0000
2 Cs 0.0000 0.0000 0.5000
3 Cs 0.5000 0.0000 0.0000
4 S 0.0000 0.0000 0.0000
5 Cu 0.5000 0.5000 0.5000

Formation energy from raw total energies ... -31 kJ per mole of atoms

# 15
# Pr8Bi4Sb3Te

Crystalline Pr8Bi4Sb3Te at its relaxed geometry (PBE, Alexandria via LeMat-Bulk).

Unit cell a=9.1942 b=9.1937 c=9.1941 alpha=120.00 beta=120.00 gamma=90.00
Fractional coordinates of all 16 atoms:
1 Pr 0.2508 0.7467 0.9960
2 Pr 0.2507 0.7467 0.5013
3 Pr 0.2519 0.2557 0.5038
4 Pr 0.7452 0.7467 0.9960
5 Pr 0.2548 0.2533 0.0040
6 Pr 0.7481 0.7443 0.4962
7 Pr 0.7493 0.2533 0.4987
8 Pr 0.7492 0.2533 0.0040
9 Bi 0.5000 0.0000 0.0000
10 Bi 0.5000 0.0000 0.5000
11 Bi 0.0000 0.0000 0.0000
12 Bi 0.0000 0.0000 0.5000
13 Sb 0.5000 0.5000 0.0000
14 Sb 0.5000 0.5000 0.5000
15 Sb 0.0000 0.5000 0.5000
16 Te 0.0000 0.5000 0.0000

Formation energy from raw total energies ... -109 kJ per mole of atoms

# 16
# SmHoMg

Crystalline SmHoMg at its relaxed geometry (PBE, Alexandria via LeMat-Bulk).

Unit cell a=4.6906 b=4.6906 c=8.3208 alpha=90.00 beta=90.00 gamma=90.00
Fractional coordinates of all 6 atoms:
1 Sm 0.0000 0.5000 0.6899
2 Sm 0.5000 0.0000 0.3101
3 Mg 0.5000 0.5000 0.0000
4 Mg 0.0000 0.0000 0.0000
5 Ho 0.5000 0.0000 0.7276
6 Ho 0.0000 0.5000 0.2724

Electronic total energy ... -3.416 eV/atom

# 17
# Ho2As2Rh5

Crystalline Ho2As2Rh5 at its relaxed geometry (PBE, Alexandria via LeMat-Bulk).

Unit cell a=4.2192 b=4.2192 c=8.7760 alpha=90.00 beta=90.00 gamma=90.00
Fractional coordinates of all 9 atoms:
1 Ho 0.0000 0.0000 0.0000
2 Ho 0.0000 0.0000 0.5000
3 As 0.5000 0.5000 0.1454
4 As 0.5000 0.5000 0.8546
5 Rh 0.5000 0.0000 0.2688
6 Rh 0.5000 0.0000 0.7312
7 Rh 0.5000 0.5000 0.5000
8 Rh 0.0000 0.5000 0.2688
9 Rh 0.0000 0.5000 0.7312

Electronic total energy ... -6.937 eV/atom

# 18
# La2NdSmHo4

Crystalline La2NdSmHo4 at its relaxed geometry (PBE, Alexandria via LeMat-Bulk).

Unit cell a=3.6276 b=6.2677 c=11.8633 alpha=79.77 beta=90.00 gamma=90.00
Fractional coordinates of all 8 atoms:
1 La 0.0000 0.0000 0.0000
2 La 0.5000 0.0000 0.5000
3 Nd 0.5000 0.5000 0.0000
4 Sm 0.0000 0.5000 0.5000
5 Ho 0.0000 0.7500 0.7500
6 Ho 0.0000 0.2500 0.2500
7 Ho 0.5000 0.7487 0.2509
8 Ho 0.5000 0.2513 0.7491

Electronic total energy ... -4.689 eV/atom

# 19
# NiTePdN2

Crystalline NiTePdN2 at its relaxed geometry (PBE, Alexandria via LeMat-Bulk).

Unit cell a=3.7689 b=3.7689 c=6.4519 alpha=90.00 beta=90.00 gamma=90.00
Fractional coordinates of all 5 atoms:
1 Ni 0.5000 0.5000 0.5000
2 Te 0.0000 0.0000 0.5000
3 Pd 0.0000 0.0000 0.0000
4 N 0.0000 0.5000 0.0000
5 N 0.5000 0.0000 0.0000

Formation energy from raw total energies ... 146 kJ per mole of atoms

# 20
# CoNi2Sb

Crystalline CoNi2Sb at its relaxed geometry (PBE, Alexandria via LeMat-Bulk).

Unit cell a=5.1142 b=4.2110 c=2.9259 alpha=89.37 beta=73.65 gamma=114.11
Fractional coordinates of all 4 atoms:
1 Co 0.5000 0.0000 0.5000
2 Ni 0.0000 0.0000 0.0000
3 Ni 0.0000 0.5000 0.5000
4 Sb 0.5000 0.5000 0.0000

Formation energy from raw total energies ... 20 kJ per mole of atoms

# 21
# TcAsCl2

Crystalline TcAsCl2 at its relaxed geometry (PBE, Alexandria via LeMat-Bulk).

Unit cell a=3.2564 b=3.2564 c=9.2570 alpha=90.00 beta=90.00 gamma=121.34
Fractional coordinates of all 4 atoms:
1 As 0.5000 0.5000 0.7186
2 Tc 0.0000 0.0000 0.5194
3 Cl 0.0000 0.0000 0.9432
4 Cl 0.5000 0.5000 0.3187

Formation energy from raw total energies ... 19 kJ per mole of atoms

# 22
# TiNbMoOs

Crystalline TiNbMoOs at its relaxed geometry (PBE, Alexandria via LeMat-Bulk).

Unit cell a=3.1636 b=3.1636 c=6.3706 alpha=90.00 beta=90.00 gamma=90.00
Fractional coordinates of all 4 atoms:
1 Ti 0.0000 0.0000 0.8565
2 Nb 0.0000 0.0000 0.3576
3 Mo 0.5000 0.5000 0.1023
4 Os 0.5000 0.5000 0.6115

Electronic total energy ... -10.335 eV/atom

# 23
# Ho5Ni2Ge

Crystalline Ho5Ni2Ge at its relaxed geometry (PBE, Alexandria via LeMat-Bulk).

Unit cell a=7.5151 b=7.5151 c=8.3759 alpha=116.65 beta=116.65 gamma=90.00
Fractional coordinates of all 16 atoms:
1 Ho 0.5202 0.6975 0.7177
2 Ho 0.8025 0.9798 0.2823
3 Ho 0.0000 0.0000 0.0000
4 Ho 0.5000 0.5000 0.0000
5 Ho 0.1975 0.0202 0.7177
6 Ho 0.6975 0.1975 0.7177
7 Ho 0.0202 0.5202 0.7177
8 Ho 0.3025 0.8025 0.2823
9 Ho 0.9798 0.4798 0.2823
10 Ho 0.4798 0.3025 0.2823
11 Ni 0.1269 0.3731 0.0000
12 Ni 0.6269 0.1269 0.0000
13 Ni 0.3731 0.8731 0.0000
14 Ni 0.8731 0.6269 0.0000
15 Ge 0.7500 0.7500 0.5000
16 Ge 0.2500 0.2500 0.5000

Electronic total energy ... -5.364 eV/atom

# 24
# PuInSbPd

Crystalline PuInSbPd at its relaxed geometry (PBE, Alexandria via LeMat-Bulk).

Unit cell a=5.0725 b=5.0725 c=5.0725 alpha=60.00 beta=60.00 gamma=60.00
Fractional coordinates of all 4 atoms:
1 Sb 0.0000 0.0000 0.0000
2 In 0.7500 0.7500 0.7500
3 Pd 0.5000 0.5000 0.5000
4 Pu 0.2500 0.2500 0.2500

Formation energy from raw total energies ... -29 kJ per mole of atoms

# 25
# NaLi2Cd

Crystalline NaLi2Cd at its relaxed geometry (PBE, Alexandria via LeMat-Bulk).

Unit cell a=3.2802 b=3.2802 c=10.3102 alpha=80.50 beta=80.50 gamma=59.61
Fractional coordinates of all 4 atoms:
1 Na 0.4973 0.4973 0.4998
2 Li 0.0743 0.0743 0.7799
3 Li 0.2607 0.2607 0.2202
4 Cd 0.6677 0.6677 0.0002

Electronic total energy ... -1.562 eV/atom

# 26
# Pb3W

Crystalline Pb3W at its relaxed geometry (PBE, Alexandria via LeMat-Bulk).

Unit cell a=3.4034 b=3.4034 c=8.8557 alpha=90.00 beta=90.00 gamma=90.00
Fractional coordinates of all 4 atoms:
1 Pb 0.0000 0.0000 0.9507
2 Pb 0.5000 0.5000 0.2500
3 Pb 0.0000 0.0000 0.5493
4 W 0.5000 0.5000 0.7500

Electronic total energy ... -5.261 eV/atom